Entry 1:
# GaH3O (PBE, optimized geometry)
# D(E_F)   0.46 states/eV per atom
# ΔE to the lowest computed polymorph   0.000 eV/f.u.
# Calculated total energy   -2.888 eV per atom
data_GaH3O
_chemical_formula_sum 'Ga1 H3 O1'
_space_group_name_H-M_alt 'P m -3 m'
_space_group_IT_number 221
_space_group_name_Hall '-P 4 2 3'
_cell_length_a 3.486
_cell_length_b 3.486
_cell_length_c 3.486
_cell_angle_alpha 90.00
_cell_angle_beta 90.00
_cell_angle_gamma 90.00
loop_
_atom_site_label
_atom_site_fract_x
_atom_site_fract_y
_atom_site_fract_z
Ga1 0.000 0.000 0.000
H1 0.000 0.000 0.500
O1 0.500 0.500 0.500



Entry 2:
# Ga2H6O (PBE, optimized geometry)
# D(E_F)   0.00 states/eV per atom
# ΔE to the lowest computed polymorph   0.000 eV/f.u.
# Calculated total energy   -3.687 eV per atom
data_Ga2H6O
_chemical_formula_sum 'Ga2 H6 O1'
_space_group_name_H-M_alt 'P 1'
_space_group_IT_number 1
_cell_length_a 4.496
_cell_length_b 4.666
_cell_length_c 5.986
_cell_angle_alpha 81.80
_cell_angle_beta 82.57
_cell_angle_gamma 71.62
loop_
_space_group_symop_operation_xyz
'x,y,z'
loop_
_atom_site_label
_atom_site_fract_x
_atom_site_fract_y
_atom_site_fract_z
Ga1 0.000 0.000 0.000
Ga2 0.400 0.181 0.761
H1 0.308 0.506 0.627
H2 0.618 0.227 0.964
H3 0.675 0.938 0.628
H4 0.844 0.107 0.435
H5 0.949 0.385 0.288
H6 0.952 0.687 0.110
O1 0.993 0.162 0.309



Entry 3:
# GaPH2O (PBE, optimized geometry)
# D(E_F)   0.00 states/eV per atom
# ΔE to the lowest computed polymorph   0.836 eV/f.u.
# Calculated total energy   -4.502 eV per atom
data_GaPH2O
_chemical_formula_sum 'Ga1 P1 H2 O1'
_space_group_name_H-M_alt 'P 1'
_space_group_IT_number 1
_cell_length_a 3.334
_cell_length_b 4.045
_cell_length_c 5.009
_cell_angle_alpha 89.42
_cell_angle_beta 89.98
_cell_angle_gamma 76.56
loop_
_space_group_symop_operation_xyz
'x,y,z'
loop_
_atom_site_label
_atom_site_fract_x
_atom_site_fract_y
_atom_site_fract_z
Ga1 0.000 0.000 0.000
P1 0.999 0.497 0.267
H1 0.301 0.355 0.461
H2 0.686 0.635 0.452
O1 0.500 0.001 0.830



Entry 4:
# GaPH2O (PBE, optimized geometry)
# D(E_F)   0.05 states/eV per atom
# ΔE to the lowest computed polymorph   1.503 eV/f.u.
# Calculated total energy   -4.369 eV per atom
data_GaPH2O
_chemical_formula_sum 'Ga2 P2 H4 O2'
_space_group_name_H-M_alt 'C 1 m 1'
_space_group_IT_number 8
_cell_length_a 8.563
_cell_length_b 4.888
_cell_length_c 2.937
_cell_angle_alpha 90.00
_cell_angle_beta 109.07
_cell_angle_gamma 90.00
loop_
_space_group_symop_operation_xyz
'x,y,z'
'x,-y,z'
'x+1/2,y+1/2,z'
'x+1/2,-y+1/2,z'
loop_
_atom_site_label
_atom_site_fract_x
_atom_site_fract_y
_atom_site_fract_z
Ga1 0.000 0.000 0.000
P1 0.385 0.000 0.872
H1 0.160 0.500 0.268
H2 0.236 0.500 0.186
O1 0.181 0.000 0.679



Entry 5:
# GaPH2O (PBE, optimized geometry)
# ΔE to the lowest computed polymorph   1.790 eV/f.u.
# Calculated total energy   -4.312 eV per atom
data_GaPH2O
_chemical_formula_sum 'Ga1 P1 H2 O1'
_space_group_name_H-M_alt 'P 1'
_space_group_IT_number 1
_cell_length_a 3.584
_cell_length_b 3.584
_cell_length_c 6.890
_cell_angle_alpha 85.20
_cell_angle_beta 85.65
_cell_angle_gamma 87.32
loop_
_space_group_symop_operation_xyz
'x,y,z'
loop_
_atom_site_label
_atom_site_fract_x
_atom_site_fract_y
_atom_site_fract_z
Ga1 0.000 0.000 0.000
P1 0.531 0.530 0.043
H1 0.002 0.846 0.541
H2 0.852 0.999 0.538
O1 0.350 0.352 0.858



Entry 6:
# GaPHO2 (PBE, optimized geometry)
# D(E_F)   0.35 states/eV per atom
# ΔE to the lowest computed polymorph   0.140 eV/f.u.
# Calculated total energy   -3.950 eV per atom
data_GaPHO2
_chemical_formula_sum 'Ga1 P1 H1 O2'
_space_group_name_H-M_alt 'P 4/m m m'
_space_group_IT_number 123
_space_group_name_Hall '-P 4 2'
_cell_length_a 3.614
_cell_length_b 3.614
_cell_length_c 5.815
_cell_angle_alpha 90.00
_cell_angle_beta 90.00
_cell_angle_gamma 90.00
loop_
_atom_site_label
_atom_site_fract_x
_atom_site_fract_y
_atom_site_fract_z
Ga1 0.000 0.000 0.000
P1 0.000 0.000 0.500
H1 0.500 0.500 0.500
O1 0.000 0.500 0.000



Entry 7:
# GaPH2O (PBE, optimized geometry)
# D(E_F)   0.00 states/eV per atom
# ΔE to the lowest computed polymorph   0.000 eV/f.u.
# Calculated total energy   -4.669 eV per atom
data_GaPH2O
_chemical_formula_sum 'Ga2 P2 H4 O2'
_space_group_name_H-M_alt 'C 1 m 1'
_space_group_IT_number 8
_cell_length_a 6.712
_cell_length_b 3.900
_cell_length_c 5.453
_cell_angle_alpha 90.00
_cell_angle_beta 103.92
_cell_angle_gamma 90.00
loop_
_space_group_symop_operation_xyz
'x,y,z'
'x,-y,z'
'x+1/2,y+1/2,z'
'x+1/2,-y+1/2,z'
loop_
_atom_site_label
_atom_site_fract_x
_atom_site_fract_y
_atom_site_fract_z
Ga1 0.000 0.000 0.000
P1 0.141 0.500 0.868
H1 0.103 0.203 0.497
O1 0.111 0.000 0.387



Entry 8:
# GaPH2O (PBE, optimized geometry)
# D(E_F)   0.09 states/eV per atom
# ΔE to the lowest computed polymorph   1.193 eV/f.u.
# Calculated total energy   -4.431 eV per atom
data_GaPH2O
_chemical_formula_sum 'Ga1 P1 H2 O1'
_space_group_name_H-M_alt 'P 1'
_space_group_IT_number 1
_cell_length_a 2.604
_cell_length_b 4.938
_cell_length_c 5.398
_cell_angle_alpha 90.88
_cell_angle_beta 94.31
_cell_angle_gamma 95.19
loop_
_space_group_symop_operation_xyz
'x,y,z'
loop_
_atom_site_label
_atom_site_fract_x
_atom_site_fract_y
_atom_site_fract_z
Ga1 0.000 0.000 0.000
P1 0.031 0.504 0.107
H1 0.073 0.513 0.372
H2 0.577 0.000 0.595
O1 0.947 0.990 0.651



Entry 9:
# GaPH2O (PBE, optimized geometry)
# D(E_F)   0.05 states/eV per atom
# ΔE to the lowest computed polymorph   1.078 eV/f.u.
# Calculated total energy   -4.454 eV per atom
data_GaPH2O
_chemical_formula_sum 'Ga2 P2 H4 O2'
_space_group_name_H-M_alt 'C 1 m 1'
_space_group_IT_number 8
_cell_length_a 7.151
_cell_length_b 4.218
_cell_length_c 4.847
_cell_angle_alpha 90.00
_cell_angle_beta 120.69
_cell_angle_gamma 90.00
loop_
_space_group_symop_operation_xyz
'x,y,z'
'x,-y,z'
'x+1/2,y+1/2,z'
'x+1/2,-y+1/2,z'
loop_
_atom_site_label
_atom_site_fract_x
_atom_site_fract_y
_atom_site_fract_z
Ga1 0.000 0.000 0.000
P1 0.277 0.000 0.836
H1 0.473 0.089 0.445
O1 0.128 0.000 0.454



Entry 10:
# GaPH2O (PBE, optimized geometry)
# D(E_F)   0.14 states/eV per atom
# ΔE to the lowest computed polymorph   0.788 eV/f.u.
# Calculated total energy   -4.512 eV per atom
data_GaPH2O
_chemical_formula_sum 'Ga1 P1 H2 O1'
_space_group_name_H-M_alt 'P 1 m 1'
_space_group_IT_number 6
_cell_length_a 3.344
_cell_length_b 3.565
_cell_length_c 5.477
_cell_angle_alpha 90.00
_cell_angle_beta 104.32
_cell_angle_gamma 90.00
loop_
_space_group_symop_operation_xyz
'x,y,z'
'x,-y,z'
loop_
_atom_site_label
_atom_site_fract_x
_atom_site_fract_y
_atom_site_fract_z
Ga1 0.000 0.000 0.000
P1 0.546 0.500 0.114
H1 0.771 0.218 0.500
O1 0.885 0.000 0.611



Entry 11:
# GaP2HO (PBE, optimized geometry)
# D(E_F)   0.74 states/eV per atom
# ΔE to the lowest computed polymorph   2.686 eV/f.u.
# Calculated total energy   -3.467 eV per atom
data_GaP2HO
_chemical_formula_sum 'Ga1 P2 H1 O1'
_space_group_name_H-M_alt 'P 4/m m m'
_space_group_IT_number 123
_space_group_name_Hall '-P 4 2'
_cell_length_a 4.895
_cell_length_b 4.895
_cell_length_c 3.573
_cell_angle_alpha 90.00
_cell_angle_beta 90.00
_cell_angle_gamma 90.00
loop_
_atom_site_label
_atom_site_fract_x
_atom_site_fract_y
_atom_site_fract_z
Ga1 0.000 0.000 0.000
P1 0.000 0.500 0.000
H1 0.500 0.500 0.500
O1 0.000 0.000 0.500



Entry 12:
# GaPH2O (PBE, optimized geometry)
# D(E_F)   0.00 states/eV per atom
# ΔE to the lowest computed polymorph   0.022 eV/f.u.
# Calculated total energy   -4.665 eV per atom
data_GaPH2O
_chemical_formula_sum 'Ga2 P2 H4 O2'
_space_group_name_H-M_alt 'C 1 m 1'
_space_group_IT_number 8
_cell_length_a 6.797
_cell_length_b 3.955
_cell_length_c 5.954
_cell_angle_alpha 90.00
_cell_angle_beta 104.65
_cell_angle_gamma 90.00
loop_
_space_group_symop_operation_xyz
'x,y,z'
'x,-y,z'
'x+1/2,y+1/2,z'
'x+1/2,-y+1/2,z'
loop_
_atom_site_label
_atom_site_fract_x
_atom_site_fract_y
_atom_site_fract_z
Ga1 0.000 0.000 0.000
P1 0.360 0.000 0.123
H1 0.298 0.500 0.615
H2 0.408 0.000 0.370
O1 0.444 0.500 0.680



Entry 13:
# GaPH2O (PBE, optimized geometry)
# D(E_F)   0.21 states/eV per atom
# ΔE to the lowest computed polymorph   2.044 eV/f.u.
# Calculated total energy   -4.261 eV per atom
data_GaPH2O
_chemical_formula_sum 'Ga2 P2 H4 O2'
_space_group_name_H-M_alt 'I m m 2'
_space_group_IT_number 44
_cell_length_a 2.793
_cell_length_b 6.922
_cell_length_c 6.524
_cell_angle_alpha 90.00
_cell_angle_beta 90.00
_cell_angle_gamma 90.00
loop_
_space_group_symop_operation_xyz
'x,y,z'
'-x,-y,z'
'-x,y,z'
'x,-y,z'
'x+1/2,y+1/2,z+1/2'
'-x+1/2,-y+1/2,z+1/2'
'-x+1/2,y+1/2,z+1/2'
'x+1/2,-y+1/2,z+1/2'
loop_
_atom_site_label
_atom_site_fract_x
_atom_site_fract_y
_atom_site_fract_z
Ga1 0.000 0.000 0.000
P1 0.000 0.500 0.022
H1 0.000 0.261 0.014
O1 0.000 0.500 0.271



Entry 14:
# GaP2HO (PBE, optimized geometry)
# D(E_F)   0.51 states/eV per atom
# ΔE to the lowest computed polymorph   0.000 eV/f.u.
# Calculated total energy   -4.004 eV per atom
data_GaP2HO
_chemical_formula_sum 'Ga1 P2 H1 O1'
_space_group_name_H-M_alt 'P 4/m m m'
_space_group_IT_number 123
_space_group_name_Hall '-P 4 2'
_cell_length_a 3.309
_cell_length_b 3.309
_cell_length_c 6.488
_cell_angle_alpha 90.00
_cell_angle_beta 90.00
_cell_angle_gamma 90.00
loop_
_atom_site_label
_atom_site_fract_x
_atom_site_fract_y
_atom_site_fract_z
Ga1 0.000 0.000 0.000
P1 0.000 0.500 0.500
H1 0.500 0.500 0.500
O1 0.500 0.500 0.000



Entry 15:
# GaPH2O (PBE, optimized geometry)
# D(E_F)   0.00 states/eV per atom
# ΔE to the lowest computed polymorph   1.222 eV/f.u.
# Calculated total energy   -4.425 eV per atom
data_GaPH2O
_chemical_formula_sum 'Ga1 P1 H2 O1'
_space_group_name_H-M_alt 'P 1'
_space_group_IT_number 1
_cell_length_a 4.367
_cell_length_b 4.393
_cell_length_c 4.559
_cell_angle_alpha 94.89
_cell_angle_beta 95.02
_cell_angle_gamma 94.93
loop_
_space_group_symop_operation_xyz
'x,y,z'
loop_
_atom_site_label
_atom_site_fract_x
_atom_site_fract_y
_atom_site_fract_z
Ga1 0.000 0.000 0.000
P1 0.674 0.673 0.507
H1 0.350 0.675 0.547
H2 0.680 0.351 0.547
O1 0.698 0.697 0.163



Entry 16:
# GaP2H11O12 (PBE, optimized geometry)
# D(E_F)   0.00 states/eV per atom
# Calculated total energy   -5.689 eV per atom
data_GaP2H11O12
_chemical_formula_sum 'Ga2 P4 H22 O24'
_space_group_name_H-M_alt 'P 1 21/c 1'
_space_group_IT_number 14
_cell_length_a 7.402
_cell_length_b 7.608
_cell_length_c 8.527
_cell_angle_alpha 90.00
_cell_angle_beta 105.07
_cell_angle_gamma 90.00
loop_
_space_group_symop_operation_xyz
'x,y,z'
'-x,-y,-z'
'-x,y+1/2,-z+1/2'
'x,-y+1/2,z+1/2'
loop_
_atom_site_label
_atom_site_fract_x
_atom_site_fract_y
_atom_site_fract_z
Ga1 0.000 0.000 0.000
P1 0.188 0.158 0.366
H1 0.000 0.000 0.500
H2 0.188 0.722 0.948
H3 0.286 0.609 0.385
H4 0.360 0.001 0.671
H5 0.430 0.178 0.888
H6 0.443 0.046 0.206
O1 0.051 0.191 0.861
O2 0.155 0.005 0.477
O3 0.187 0.095 0.193
O4 0.209 0.648 0.459
O5 0.398 0.216 0.447
O6 0.428 0.506 0.287



Entry 17:
# GaPHO2 (PBE, optimized geometry)
# D(E_F)   0.28 states/eV per atom
# ΔE to the lowest computed polymorph   0.000 eV/f.u.
# Calculated total energy   -3.978 eV per atom
data_GaPHO2
_chemical_formula_sum 'Ga1 P1 H1 O2'
_space_group_name_H-M_alt 'P 4/m m m'
_space_group_IT_number 123
_space_group_name_Hall '-P 4 2'
_cell_length_a 4.084
_cell_length_b 4.084
_cell_length_c 2.961
_cell_angle_alpha 90.00
_cell_angle_beta 90.00
_cell_angle_gamma 90.00
loop_
_atom_site_label
_atom_site_fract_x
_atom_site_fract_y
_atom_site_fract_z
Ga1 0.000 0.000 0.000
P1 0.500 0.500 0.000
H1 0.500 0.500 0.500
O1 0.000 0.500 0.500



Entry 18:
# GaPH2O (PBE, optimized geometry)
# ΔE to the lowest computed polymorph   1.449 eV/f.u.
# Calculated total energy   -4.380 eV per atom
data_GaPH2O
_chemical_formula_sum 'Ga1 P1 H2 O1'
_space_group_name_H-M_alt 'P 1'
_space_group_IT_number 1
_cell_length_a 3.988
_cell_length_b 4.610
_cell_length_c 4.679
_cell_angle_alpha 90.17
_cell_angle_beta 107.26
_cell_angle_gamma 112.05
loop_
_space_group_symop_operation_xyz
'x,y,z'
loop_
_atom_site_label
_atom_site_fract_x
_atom_site_fract_y
_atom_site_fract_z
Ga1 0.000 0.000 0.000
P1 0.319 0.840 0.686
H1 0.028 0.455 0.256
H2 0.442 0.145 0.587
O1 0.013 0.657 0.321



Entry 19:
# GaPH2O (PBE, optimized geometry)
# D(E_F)   0.00 states/eV per atom
# ΔE to the lowest computed polymorph   1.323 eV/f.u.
# Calculated total energy   -4.405 eV per atom
data_GaPH2O
_chemical_formula_sum 'Ga1 P1 H2 O1'
_space_group_name_H-M_alt 'P 1'
_space_group_IT_number 1
_cell_length_a 3.515
_cell_length_b 4.401
_cell_length_c 4.711
_cell_angle_alpha 85.93
_cell_angle_beta 80.26
_cell_angle_gamma 70.69
loop_
_space_group_symop_operation_xyz
'x,y,z'
loop_
_atom_site_label
_atom_site_fract_x
_atom_site_fract_y
_atom_site_fract_z
Ga1 0.000 0.000 0.000
P1 0.180 0.538 0.711
H1 0.520 0.584 0.521
H2 0.928 0.970 0.340
O1 0.420 0.239 0.930



Entry 20:
# GaPH2O (PBE, optimized geometry)
# ΔE to the lowest computed polymorph   1.110 eV/f.u.
# Calculated total energy   -4.447 eV per atom
data_GaPH2O
_chemical_formula_sum 'Ga1 P1 H2 O1'
_space_group_name_H-M_alt 'P 1 m 1'
_space_group_IT_number 6
_cell_length_a 3.502
_cell_length_b 5.035
_cell_length_c 3.510
_cell_angle_alpha 90.00
_cell_angle_beta 119.47
_cell_angle_gamma 90.00
loop_
_space_group_symop_operation_xyz
'x,y,z'
'x,-y,z'
loop_
_atom_site_label
_atom_site_fract_x
_atom_site_fract_y
_atom_site_fract_z
Ga1 0.000 0.000 0.000
P1 0.010 0.500 0.099
H1 0.363 0.500 0.535
H2 0.694 0.500 0.239
O1 0.336 0.000 0.675



Entry 21:
# GaPH2O (PBE, optimized geometry)
# D(E_F)   0.00 states/eV per atom
# ΔE to the lowest computed polymorph   0.016 eV/f.u.
# Calculated total energy   -4.666 eV per atom
data_GaPH2O
_chemical_formula_sum 'Ga1 P1 H2 O1'
_space_group_name_H-M_alt 'P 1'
_space_group_IT_number 1
_cell_length_a 3.925
_cell_length_b 3.926
_cell_length_c 6.078
_cell_angle_alpha 80.82
_cell_angle_beta 80.49
_cell_angle_gamma 60.48
loop_
_space_group_symop_operation_xyz
'x,y,z'
loop_
_atom_site_label
_atom_site_fract_x
_atom_site_fract_y
_atom_site_fract_z
Ga1 0.000 0.000 0.000
P1 0.311 0.313 0.120
H1 0.256 0.261 0.359
H2 0.940 0.937 0.631
O1 0.065 0.059 0.691